# 1
Compound: PmPrSm2
Source: Alexandria
Functional: PBE-GGA
Structure: relaxed

```
PmPrSm2
1.0
-0.859 -4.645 3.376
-0.896 -5.209 -2.403
4.083 -4.111 0.375
Pm Sm Pr
1 2 1
direct
0.500 0.500 0.500
0.750 0.750 0.750
0.250 0.250 0.250
0.000 0.000 0.000
```

Output
Calculated density ... 7.0 g/cm3
Excess energy over the best structure of this formula in the dataset ... 0.55 eV per formula unit

=====

# 2
Compound: KBe2Ir
Source: Alexandria
Functional: PBE-GGA
Structure: relaxed

```
KBe2Ir
1.0
4.467 0.000 0.000
2.233 3.868 0.000
2.233 1.289 3.647
Ir Be K
1 2 1
direct
0.500 0.500 0.500
0.250 0.250 0.250
0.000 0.000 0.000
0.750 0.750 0.750
```

Output
Calculated density ... 6.6 g/cm3
Excess energy over the best structure of this formula in the dataset ... 5.08 eV per formula unit

=====

# 3
Compound: GeSb3Au
Source: Alexandria
Functional: PBE-GGA
Structure: relaxed

```
GeSb3Au
1.0
-2.581 -4.010 -2.328
4.491 -2.826 -0.111
-1.156 -2.024 4.768
Ge Sb Au
1 3 1
direct
0.000 0.000 0.000
0.500 0.000 0.000
0.000 0.000 0.500
0.000 0.500 0.000
0.500 0.500 0.500
```

Output
Calculated density ... 7.1 g/cm3
E_form (uncorrected) ... 4.06 eV per formula unit
Excess energy over the best structure of this formula in the dataset ... 0.46 eV per formula unit